The following is a DFT calculation (PBE) of an optimized crystal structure of RbGa2Ge2.

Computed properties:
Space-group type: C2/m, No. 12
Offset from the most stable computed form, meV/atom: 79
ΔE_f, eV per atom: -0.02
Total magnetic moment, Bohr magnetons per cell: 0.00

Cell: 6.978 6.978 7.018 Å, 104.66 104.66 118.13°
Element x y z (fractional)
Rb: 0.225 0.775 0.000
Rb: 0.775 0.225 0.000
Ga: 0.219 0.219 0.776
Ga: 0.357 0.643 0.500
Ga: 0.643 0.357 0.500
Ga: 0.781 0.781 0.224
Ge: 0.150 0.850 0.500
Ge: 0.406 0.406 0.200
Ge: 0.594 0.594 0.800
Ge: 0.850 0.150 0.500